Entry 1:
Na4Tb3ScTe8: optimized geometry, GGA-PBE.

a b c (Å): 9.103 9.103 9.103
angles (deg): 57.74 57.74 57.74
Positions (direct):
Na 0.000 0.000 0.000
Na 0.000 0.500 0.500
Na 0.500 0.000 0.500
Na 0.500 0.500 0.000
Tb 0.000 0.000 0.500
Tb 0.000 0.500 0.000
Tb 0.500 0.000 0.000
Sc 0.500 0.500 0.500
Te 0.245 0.245 0.245
Te 0.254 0.737 0.737
Te 0.263 0.263 0.746
Te 0.263 0.746 0.263
Te 0.737 0.254 0.737
Te 0.737 0.737 0.254
Te 0.746 0.263 0.263
Te 0.755 0.755 0.755

## Properties
E_form (uncorrected): -20.517 eV per formula unit
space group: No. 166
mass density: 5.4 g/cm³

Entry 2:
NaSc2Tc2: optimized geometry, GGA-PBE.

a b c (Å): 8.122 8.122 3.088
angles (deg): 90.00 90.00 90.00
Positions (direct):
Na 0.000 0.000 0.000
Na 0.500 0.500 0.000
Sc 0.190 0.310 0.500
Sc 0.310 0.810 0.500
Sc 0.690 0.190 0.500
Sc 0.810 0.690 0.500
Tc 0.099 0.599 0.000
Tc 0.401 0.099 0.000
Tc 0.599 0.901 0.000
Tc 0.901 0.401 0.000

## Properties
formation energy: 199 meV/atom
space group: No. 127
mass density: 5.0 g/cm³

Entry 3:
NaScTc2W: optimized geometry, GGA-PBE.

a b c (Å): 4.691 4.691 5.088
angles (deg): 90.00 90.00 90.00
Positions (direct):
Na 0.000 0.000 0.000
Sc 0.500 0.500 0.000
Tc 0.000 0.500 0.500
Tc 0.500 0.000 0.500
W 0.000 0.000 0.500

## Properties
formation energy: 1339 meV/atom
space group: No. 123
mass density: 6.6 g/cm³

Entry 4:
Na2ZrScTc: optimized geometry, GGA-PBE.

a b c (Å): 5.374 5.374 4.776
angles (deg): 90.00 90.00 90.00
Positions (direct):
Na 0.000 0.500 0.000
Na 0.500 0.000 0.000
Zr 0.000 0.000 0.500
Sc 0.500 0.500 0.500
Tc 0.000 0.000 0.000

## Properties
formation energy: 1035 meV/atom
space group: No. 123
mass density: 3.4 g/cm³

Entry 5:
NaScTe3: optimized geometry, GGA-PBE.

a b c (Å): 5.609 5.609 5.609
angles (deg): 90.00 90.00 90.00
Positions (direct):
Na 0.000 0.000 0.000
Sc 0.500 0.500 0.500
Te 0.000 0.500 0.500
Te 0.500 0.000 0.500
Te 0.500 0.500 0.000

## Properties
relative energy among the computed polymorphs: 0.0 meV/atom
E_form (uncorrected): -2.989 eV per formula unit
space group: No. 221
mass density: 4.2 g/cm³

Entry 6:
NaSc5Te8: optimized geometry, GGA-PBE.

a b c (Å): 8.695 8.695 8.695
angles (deg): 60.00 60.00 60.00
Positions (direct):
Na 0.000 0.000 0.000
Sc 0.370 0.370 0.370
Sc 0.370 0.370 0.891
Sc 0.370 0.891 0.370
Sc 0.750 0.750 0.750
Sc 0.891 0.370 0.370
Te 0.136 0.136 0.136
Te 0.136 0.136 0.592
Te 0.136 0.592 0.136
Te 0.149 0.617 0.617
Te 0.592 0.136 0.136
Te 0.617 0.149 0.617
Te 0.617 0.617 0.149
Te 0.617 0.617 0.617

## Properties
E_form (uncorrected): -15.759 eV per formula unit
space group: No. 216
mass density: 4.5 g/cm³

Entry 7:
Na2ScTe2: optimized geometry, GGA-PBE.

a b c (Å): 7.995 7.995 4.511
angles (deg): 90.00 90.00 90.00
Positions (direct):
Na 0.137 0.363 0.000
Na 0.363 0.863 0.000
Na 0.637 0.137 0.000
Na 0.863 0.637 0.000
Sc 0.000 0.000 0.500
Sc 0.500 0.500 0.500
Te 0.175 0.675 0.500
Te 0.325 0.175 0.500
Te 0.675 0.825 0.500
Te 0.825 0.325 0.500

## Properties
E_form (uncorrected): -3.981 eV per formula unit
space group: No. 127
mass density: 4.0 g/cm³

Entry 8:
NaSc2Te2: optimized geometry, GGA-PBE.

a b c (Å): 7.742 7.742 7.742
angles (deg): 144.72 144.72 50.75
Positions (direct):
Na 0.000 0.000 0.000
Sc 0.250 0.750 0.500
Sc 0.750 0.250 0.500
Te 0.369 0.369 0.000
Te 0.631 0.631 0.000

## Properties
relative energy among the computed polymorphs: 55.7 meV/atom
E_form (uncorrected): -3.827 eV per formula unit
space group: No. 139
mass density: 4.0 g/cm³

Entry 9:
NaSc3Te4: optimized geometry, GGA-PBE.

a b c (Å): 4.191 4.191 28.936
angles (deg): 90.00 90.00 120.00
Positions (direct):
Na 0.333 0.667 0.250
Na 0.667 0.333 0.750
Sc 0.000 0.000 0.000
Sc 0.000 0.000 0.500
Sc 0.333 0.667 0.618
Sc 0.333 0.667 0.882
Sc 0.667 0.333 0.118
Sc 0.667 0.333 0.382
Te 0.000 0.000 0.175
Te 0.000 0.000 0.325
Te 0.000 0.000 0.675
Te 0.000 0.000 0.825
Te 0.333 0.667 0.058
Te 0.333 0.667 0.442
Te 0.667 0.333 0.558
Te 0.667 0.333 0.942

## Properties
E_form (uncorrected): -9.158 eV per formula unit
space group: No. 194
mass density: 5.0 g/cm³

Entry 10:
Na5ScTe4: optimized geometry, GGA-PBE.

a b c (Å): 9.729 9.729 8.356
angles (deg): 115.37 115.37 27.40
Positions (direct):
Na 0.000 0.000 0.000
Na 0.323 0.323 0.083
Na 0.323 0.323 0.563
Na 0.677 0.677 0.437
Na 0.677 0.677 0.917
Sc 0.000 0.000 0.500
Te 0.185 0.185 0.685
Te 0.500 0.500 0.262
Te 0.500 0.500 0.738
Te 0.815 0.815 0.315

## Properties
E_form (uncorrected): -9.294 eV per formula unit
space group: No. 12
mass density: 3.4 g/cm³

Entry 11:
NaSc2Te2: optimized geometry, GGA-PBE.

a b c (Å): 8.096 8.096 3.811
angles (deg): 90.00 90.00 90.00
Positions (direct):
Na 0.000 0.000 0.000
Na 0.500 0.500 0.000
Sc 0.141 0.359 0.500
Sc 0.359 0.859 0.500
Sc 0.641 0.141 0.500
Sc 0.859 0.641 0.500
Te 0.153 0.653 0.000
Te 0.347 0.153 0.000
Te 0.653 0.847 0.000
Te 0.847 0.347 0.000

## Properties
relative energy among the computed polymorphs: 0.0 meV/atom
E_form (uncorrected): -4.106 eV per formula unit
space group: No. 127
mass density: 4.9 g/cm³

Entry 12:
Na3ThSc2Te6: optimized geometry, GGA-PBE.

a b c (Å): 7.462 7.462 8.020
angles (deg): 98.96 98.96 120.03
Positions (direct):
Na 0.000 0.000 0.000
Na 0.339 0.661 0.000
Na 0.661 0.339 0.000
Th 0.500 0.500 0.500
Sc 0.168 0.832 0.500
Sc 0.832 0.168 0.500
Te 0.074 0.423 0.271
Te 0.227 0.227 0.728
Te 0.423 0.074 0.271
Te 0.577 0.926 0.729
Te 0.773 0.773 0.272
Te 0.926 0.577 0.729

## Properties
E_form (uncorrected): -13.894 eV per formula unit
space group: No. 12
mass density: 5.2 g/cm³

Entry 13:
Na2ThSc2Te6: optimized geometry, GGA-PBE.

a b c (Å): 7.464 7.464 8.015
angles (deg): 98.70 98.70 120.31
Positions (direct):
Na 0.160 0.840 0.000
Na 0.840 0.160 0.000
Th 0.000 0.000 0.500
Sc 0.333 0.667 0.500
Sc 0.667 0.333 0.500
Te 0.073 0.423 0.725
Te 0.280 0.280 0.275
Te 0.423 0.073 0.725
Te 0.577 0.927 0.275
Te 0.720 0.720 0.725
Te 0.927 0.577 0.275

## Properties
E_form (uncorrected): -13.015 eV per formula unit
space group: No. 12
mass density: 5.1 g/cm³

Entry 14:
Na3ThSc3Te8: optimized geometry, GGA-PBE.

a b c (Å): 8.565 8.565 9.016
angles (deg): 118.38 118.38 60.02
Positions (direct):
Na 0.000 0.000 0.000
Na 0.000 0.500 0.000
Na 0.500 0.000 0.000
Th 0.000 0.000 0.500
Sc 0.000 0.500 0.500
Sc 0.500 0.000 0.500
Sc 0.500 0.500 0.500
Te 0.252 0.724 0.729
Te 0.253 0.253 0.729
Te 0.260 0.260 0.281
Te 0.276 0.748 0.271
Te 0.724 0.252 0.729
Te 0.740 0.740 0.719
Te 0.747 0.747 0.271
Te 0.748 0.276 0.271

## Properties
E_form (uncorrected): -17.683 eV per formula unit
space group: No. 12
mass density: 5.1 g/cm³

Entry 15:
Na4ThSc3Te8: optimized geometry, GGA-PBE.

a b c (Å): 9.078 9.078 9.078
angles (deg): 56.47 56.47 56.47
Positions (direct):
Na 0.000 0.000 0.000
Na 0.000 0.500 0.500
Na 0.500 0.000 0.500
Na 0.500 0.500 0.000
Th 0.500 0.500 0.500
Sc 0.000 0.000 0.500
Sc 0.000 0.500 0.000
Sc 0.500 0.000 0.000
Te 0.229 0.750 0.750
Te 0.239 0.239 0.239
Te 0.250 0.250 0.771
Te 0.250 0.771 0.250
Te 0.750 0.229 0.750
Te 0.750 0.750 0.229
Te 0.761 0.761 0.761
Te 0.771 0.250 0.250

## Properties
E_form (uncorrected): -18.604 eV per formula unit
space group: No. 166
mass density: 5.1 g/cm³

Entry 16:
Na3Sc3TiTe8: optimized geometry, GGA-PBE.

a b c (Å): 8.266 8.266 9.071
angles (deg): 117.11 117.11 60.06
Positions (direct):
Na 0.000 0.000 0.000
Na 0.000 0.500 0.000
Na 0.500 0.000 0.000
Sc 0.000 0.500 0.500
Sc 0.500 0.000 0.500
Sc 0.500 0.500 0.500
Ti 0.000 0.000 0.500
Te 0.233 0.233 0.714
Te 0.233 0.748 0.714
Te 0.252 0.767 0.286
Te 0.260 0.260 0.279
Te 0.740 0.740 0.721
Te 0.748 0.233 0.714
Te 0.767 0.252 0.286
Te 0.767 0.767 0.286

## Properties
E_form (uncorrected): -15.928 eV per formula unit
space group: No. 12
mass density: 4.6 g/cm³

Entry 17:
Na4Sc3TiTe8: optimized geometry, GGA-PBE.

a b c (Å): 8.976 8.976 8.976
angles (deg): 55.69 55.69 55.69
Positions (direct):
Na 0.000 0.000 0.000
Na 0.000 0.500 0.500
Na 0.500 0.000 0.500
Na 0.500 0.500 0.000
Sc 0.000 0.000 0.500
Sc 0.000 0.500 0.000
Sc 0.500 0.000 0.000
Ti 0.500 0.500 0.500
Te 0.240 0.240 0.240
Te 0.246 0.735 0.735
Te 0.265 0.265 0.754
Te 0.265 0.754 0.265
Te 0.735 0.246 0.735
Te 0.735 0.735 0.246
Te 0.754 0.265 0.265
Te 0.760 0.760 0.760

## Properties
E_form (uncorrected): -17.204 eV per formula unit
space group: No. 166
mass density: 4.7 g/cm³

Entry 18:
Na2ScTiTe4: optimized geometry, GGA-PBE.

a b c (Å): 7.187 4.133 7.956
angles (deg): 90.00 107.48 90.00
Positions (direct):
Na 0.000 0.000 0.000
Na 0.500 0.500 0.000
Sc 0.000 0.500 0.500
Ti 0.500 0.000 0.500
Te 0.246 0.000 0.719
Te 0.269 0.500 0.286
Te 0.731 0.500 0.714
Te 0.754 0.000 0.281

## Properties
E_form (uncorrected): -7.763 eV per formula unit
space group: No. 10
mass density: 4.8 g/cm³

Entry 19:
Na4TmSc3Te8: optimized geometry, GGA-PBE.

a b c (Å): 9.012 9.012 9.012
angles (deg): 56.67 56.67 56.67
Positions (direct):
Na 0.000 0.000 0.000
Na 0.000 0.500 0.500
Na 0.500 0.000 0.500
Na 0.500 0.500 0.000
Tm 0.500 0.500 0.500
Sc 0.000 0.000 0.500
Sc 0.000 0.500 0.000
Sc 0.500 0.000 0.000
Te 0.234 0.745 0.745
Te 0.240 0.240 0.240
Te 0.255 0.255 0.766
Te 0.255 0.766 0.255
Te 0.745 0.234 0.745
Te 0.745 0.745 0.234
Te 0.760 0.760 0.760
Te 0.766 0.255 0.255

## Properties
E_form (uncorrected): -19.386 eV per formula unit
space group: No. 166
mass density: 4.9 g/cm³

Entry 20:
Na3Tm2ScTe6: optimized geometry, GGA-PBE.

a b c (Å): 7.513 7.513 7.955
angles (deg): 99.06 99.06 120.01
Positions (direct):
Na 0.000 0.000 0.000
Na 0.330 0.670 0.000
Na 0.670 0.330 0.000
Tm 0.166 0.834 0.500
Tm 0.834 0.166 0.500
Sc 0.500 0.500 0.500
Te 0.100 0.425 0.274
Te 0.251 0.251 0.726
Te 0.425 0.100 0.274
Te 0.575 0.900 0.726
Te 0.749 0.749 0.274
Te 0.900 0.575 0.726

## Properties
E_form (uncorrected): -15.074 eV per formula unit
space group: No. 12
mass density: 5.5 g/cm³

Entry 21:
NaTm2ScTe4: optimized geometry, GGA-PBE.

a b c (Å): 7.447 4.276 7.516
angles (deg): 90.00 108.96 90.00
Positions (direct):
Na 0.000 0.000 0.000
Tm 0.500 0.000 0.500
Tm 0.500 0.500 0.000
Sc 0.000 0.500 0.500
Te 0.245 0.000 0.744
Te 0.251 0.500 0.256
Te 0.749 0.500 0.744
Te 0.755 0.000 0.256

## Properties
E_form (uncorrected): -9.590 eV per formula unit
space group: No. 10
mass density: 6.7 g/cm³